Record 1
Entry from OQMD via LeMat-Bulk: crystalline Pr2SiAg2Ge at its relaxed geometry (PBE).

The structure in extended XYZ format:
```
6
Lattice="4.510 0.000 0.000 -2.255 3.906 0.000 0.000 0.000 7.936" Properties=species:S:1:pos:R:3 pbc="T T T"
Pr 0.000 0.000 1.972
Pr 0.000 0.000 5.965
Si 2.255 1.302 0.000
Ag 0.000 2.604 0.000
Ag 2.255 1.302 3.968
Ge 0.000 2.604 3.968
```

Summary:
The total magnetization is 0.0 μB/cell. The total energy is -4.771 eV per atom. The space group is P-6m2 (187).

***

Record 2
Entry from OQMD via LeMat-Bulk: crystalline PrSmAg2Ge2 at its relaxed geometry (PBE).

The structure in extended XYZ format:
```
6
Lattice="4.564 0.000 0.000 -2.282 3.953 0.000 0.000 0.000 7.638" Properties=species:S:1:pos:R:3 pbc="T T T"
Pr 0.000 0.000 0.000
Sm 0.000 0.000 3.827
Ag 0.000 2.635 1.810
Ag 2.282 1.318 5.498
Ge 0.000 2.635 5.986
Ge 2.282 1.318 2.238
```

Summary:
The total magnetization is 0.0 μB/cell. The total energy is -4.682 eV per atom. The space group is P3m1 (156).

***

Record 3
Entry from OQMD via LeMat-Bulk: crystalline PrYAg2Ge2 at its relaxed geometry (PBE).

The structure in extended XYZ format:
```
6
Lattice="4.541 0.000 0.000 -2.271 3.933 0.000 0.000 0.000 7.526" Properties=species:S:1:pos:R:3 pbc="T T T"
Pr 0.000 0.000 0.000
Y 0.000 0.000 3.778
Ag 0.000 2.622 5.319
Ag 2.271 1.311 1.828
Ge 0.000 2.622 2.258
Ge 2.271 1.311 5.897
```

Summary:
The total magnetization is 0.0 μB/cell. The total energy is -4.977 eV per atom. The space group is P3m1 (156).

***

Record 4
Entry from OQMD via LeMat-Bulk: crystalline AgGe5Pt3 at its relaxed geometry (PBE).

The structure in extended XYZ format:
```
9
Lattice="5.298 0.000 0.000 -2.649 4.588 0.000 0.000 0.000 7.270" Properties=species:S:1:pos:R:3 pbc="T T T"
Ag 0.000 0.000 0.000
Ge 0.000 0.000 3.635
Ge 0.000 3.059 1.352
Ge 0.000 3.059 5.917
Ge 2.649 1.529 1.352
Ge 2.649 1.529 5.917
Pt -1.324 2.294 3.635
Pt 2.649 0.000 3.635
Pt 1.324 2.294 3.635
```

Summary:
The total magnetization is 0.0 μB/cell. The total energy is -4.827 eV per atom. The space group is P6/mmm (191).

***

Record 5
Entry from OQMD via LeMat-Bulk: crystalline Ag2GePt at its relaxed geometry (PBE).

The structure in extended XYZ format:
```
4
Lattice="0.000 3.248 3.248 3.248 0.000 3.248 3.248 3.248 0.000" Properties=species:S:1:pos:R:3 pbc="T T T"
Ag 0.000 0.000 0.000
Ag 1.624 1.624 1.624
Ge 3.248 3.248 3.248
Pt 4.872 4.872 4.872
```

Summary:
The total magnetization is 0.0 μB/cell. The total energy is -4.090 eV per atom. The space group is F-43m (216).

***

Record 6
Entry from OQMD via LeMat-Bulk: crystalline PuAgGe at its relaxed geometry (PBE).

The structure in extended XYZ format:
```
3
Lattice="0.000 3.308 3.308 3.308 0.000 3.308 3.308 3.308 0.000" Properties=species:S:1:pos:R:3 pbc="T T T"
Pu 0.000 0.000 0.000
Ag 3.308 3.308 3.308
Ge 4.962 4.962 4.962
```

Summary:
The total magnetization is 5.0 μB/cell. The total energy is -7.338 eV per atom. The space group is F-43m (216).

***

Record 7
Entry from OQMD via LeMat-Bulk: crystalline RbAg3GeS4 at its relaxed geometry (PBE).

The structure in extended XYZ format:
```
9
Lattice="6.416 0.000 0.000 0.000 6.416 0.000 0.000 0.000 6.416" Properties=species:S:1:pos:R:3 pbc="T T T"
Rb 0.000 0.000 0.000
Ag 0.000 3.208 3.208
Ag 3.208 0.000 3.208
Ag 3.208 3.208 0.000
Ge 3.208 3.208 3.208
S 1.911 1.911 1.911
S 1.911 4.506 4.506
S 4.506 1.911 4.506
S 4.506 4.506 1.911
```

Summary:
The polymorph energy (0 for the lowest one) comes out at 38.7 meV/atom. The total energy is -3.765 eV per atom. The space group is P-43m (215).

***

Record 8
Entry from OQMD via LeMat-Bulk: crystalline RbAg3GeS4 at its relaxed geometry (PBE).

The structure in extended XYZ format:
```
18
Lattice="6.364 0.000 0.000 0.000 7.512 0.000 -2.890 0.000 9.984" Properties=species:S:1:pos:R:3 pbc="T T T"
Rb -0.142 1.878 3.593
Rb 3.616 5.634 6.390
Ag 1.825 4.129 0.409
Ag 1.825 7.139 0.409
Ag 1.914 5.634 2.953
Ag 1.560 1.878 7.030
Ag 1.649 0.373 9.574
Ag 1.649 3.383 9.574
Ge -1.470 1.878 7.798
Ge 4.944 5.634 2.186
S -2.584 1.878 9.799
S -0.233 5.634 4.047
S -0.162 0.031 7.789
S -0.162 3.725 7.789
S 3.636 3.787 2.194
S 3.636 7.481 2.194
S 3.707 1.878 5.937
S 6.058 5.634 0.184
```

Summary:
The polymorph energy (0 for the lowest one) comes out at 0.0 meV/atom. The total energy is -3.804 eV per atom. The space group is P2_1/m (11).

***

Record 9
Entry from OQMD via LeMat-Bulk: crystalline RbAgGeSe2S at its relaxed geometry (PBE).

The structure in extended XYZ format:
```
12
Lattice="1.890 -7.647 0.000 1.890 7.647 0.000 0.000 0.000 10.828" Properties=species:S:1:pos:R:3 pbc="T T T"
Rb 1.890 4.093 8.121
Rb 1.890 -4.093 2.707
Ag 1.890 6.684 2.707
Ag 1.890 -6.684 8.121
Ge 1.890 0.000 0.000
Ge 1.890 0.000 5.414
Se 1.890 5.806 0.278
Se 1.890 5.806 5.136
Se 1.890 -5.806 5.692
Se 1.890 -5.806 10.551
S 1.890 0.698 2.707
S 1.890 -0.698 8.121
```

Summary:
The total energy is -3.565 eV per atom. The space group is Cmcm (63).

***

Record 10
Entry from OQMD via LeMat-Bulk: crystalline RbAg3GeSe4 at its relaxed geometry (PBE).

The structure in extended XYZ format:
```
18
Lattice="6.570 0.000 0.000 0.000 7.825 0.000 -2.977 0.000 10.344" Properties=species:S:1:pos:R:3 pbc="T T T"
Rb 0.025 1.956 3.816
Rb 3.569 5.868 6.528
Ag 1.915 4.333 0.379
Ag 1.915 7.404 0.379
Ag 1.958 5.868 2.908
Ag 1.636 1.956 7.436
Ag 1.679 0.420 9.965
Ag 1.679 3.492 9.965
Ge -1.513 1.956 8.063
Ge 5.106 5.868 2.281
Se -2.660 1.956 10.219
Se -0.190 5.868 4.271
Se -0.142 3.955 8.047
Se -0.142 7.782 8.047
Se 3.735 0.042 2.297
Se 3.735 3.870 2.297
Se 3.784 1.956 6.073
Se 6.254 5.868 0.125
```

Summary:
The polymorph energy (0 for the lowest one) comes out at 0.0 meV/atom. The total energy is -3.508 eV per atom. The space group is P2_1/m (11).

***

Record 11
Entry from OQMD via LeMat-Bulk: crystalline RbAg3GeSe4 at its relaxed geometry (PBE).

The structure in extended XYZ format:
```
9
Lattice="6.678 0.000 0.000 0.000 6.678 0.000 0.000 0.000 6.678" Properties=species:S:1:pos:R:3 pbc="T T T"
Rb 0.000 0.000 0.000
Ag 0.000 3.339 3.339
Ag 3.339 0.000 3.339
Ag 3.339 3.339 0.000
Ge 3.339 3.339 3.339
Se 1.958 1.958 1.958
Se 1.958 4.720 4.720
Se 4.720 1.958 4.720
Se 4.720 4.720 1.958
```

Summary:
The polymorph energy (0 for the lowest one) comes out at 56.7 meV/atom. The total energy is -3.451 eV per atom. The space group is P-43m (215).

***

Record 12
Entry from OQMD via LeMat-Bulk: crystalline RbAgGeTe2Se at its relaxed geometry (PBE).

The structure in extended XYZ format:
```
12
Lattice="1.937 -8.220 0.000 1.937 8.220 0.000 0.000 0.000 11.417" Properties=species:S:1:pos:R:3 pbc="T T T"
Rb 1.937 4.326 8.562
Rb 1.937 -4.326 2.854
Ag 1.937 7.321 2.854
Ag 1.937 -7.321 8.562
Ge 1.937 0.000 0.000
Ge 1.937 0.000 5.708
Te 1.937 6.131 0.348
Te 1.937 6.131 5.360
Te 1.937 -6.131 6.056
Te 1.937 -6.131 11.069
Se 1.937 0.884 2.854
Se 1.937 -0.884 8.562
```

Summary:
The total energy is -3.284 eV per atom. The space group is Cmcm (63).